1.
A geometry-optimized K5NaAg structure, computed with GGA-PBE.

The total magnetic moment comes out at 0.00 μB/f.u. For the formation energy from the elements, the calculation gives 0.0484 eV/atom.

It has space group C2/c (No. 15), with a = 11.2932 Å, b = 12.1226 Å, c = 12.0660 Å, α = 90.00°, β = 98.77° and γ = 90.00°. The distinct sites, in fractional coordinates, are K at (0.0000, 0.1267, 0.2500), K at (0.1329, 0.2275, 0.6355), K at (0.2112, 0.4217, 0.0120), Na at (0.0000, 0.4534, 0.2500) and Ag at (0.0000, 0.0000, 0.0000).



2.
A geometry-optimized K2NaAg2 structure, computed with GGA-PBE.

The total magnetic moment comes out at 0.00 μB/f.u. The calculation puts the relative energy among the computed polymorphs at 0.128 eV per atom. For the formation energy from the elements, the calculation gives 0.1396 eV/atom.

It has space group P4/mbm (No. 127), with a = 9.7457 Å, b = 9.7457 Å, c = 3.7489 Å, α = 90.00°, β = 90.00° and γ = 90.00°. The distinct sites, in fractional coordinates, are K at (0.1370, 0.3630, 0.0000), Na at (0.0000, 0.0000, 0.0000) and Ag at (0.1623, 0.6623, 0.5000).



3.
A geometry-optimized K2Na2Ag3 structure, computed with GGA-PBE.

The total magnetic moment comes out at 0.00 μB/f.u. For the formation energy from the elements, the calculation gives 0.0019 eV/atom.

It has space group C2/m (No. 12), with a = 12.7100 Å, b = 5.2352 Å, c = 8.2114 Å, α = 90.00°, β = 127.73° and γ = 90.00°. The distinct sites, in fractional coordinates, are K at (0.1777, 0.0000, 0.0704), Na at (0.1401, 0.0000, 0.4958), Ag at (0.0000, 0.5000, 0.5000) and Ag at (0.0402, 0.5000, 0.2022).



4.
A geometry-optimized KNa2AgP structure, computed with GGA-PBE.

The total magnetic moment comes out at 0.00 μB/f.u. For the formation energy from the elements, the calculation gives -0.0981 eV/atom.

It has space group P4/mmm (No. 123), with a = 5.5881 Å, b = 5.5881 Å, c = 4.9399 Å, α = 90.00°, β = 90.00° and γ = 90.00°. The distinct sites, in fractional coordinates, are K at (0.0000, 0.0000, 0.0000), Na at (0.0000, 0.5000, 0.5000), Ag at (0.5000, 0.5000, 0.0000) and P at (0.5000, 0.5000, 0.5000).